DyTh2ScSb4 (PBE-GGA, optimized geometry); total magnetic moment = 0.000 μB/f.u.; E_form (uncorrected) = -0.96 eV/atom; calculated density = 8.0 Mg/m³; symmetry = No. 10
1.0
-2.514 1.612 -3.257
-5.602 -4.838 1.930
-0.786 6.476 3.811
Sb Th Sc Dy
4 2 1 1
Cartesian
-6.131 2.098 2.774
-1.996 3.746 3.395
-4.391 -2.108 2.346
-2.770 1.152 -0.289
-1.650 4.044 0.277
-3.194 0.819 2.871
0.000 0.000 0.000
-4.058 -1.613 -0.663